{
  "formula": "Mn2GaAgO",
  "functional": "GGA+U",
  "state": "relaxed",
  "dos_ef_per_ev_cell": 3.3,
  "energy_ev_per_atom": -4.7482,
  "total_magnetization_mub_per_fu": 9.5,
  "volume_a3_per_cell": 102.90,
  "cell": [[-4.5572, -0.9602, -2.4719], [1.8024, -1.9845, -2.5521], [-0.6633, -4.3459, 2.9109]],
  "species": ["Ga", "Ag", "Mn", "O", "Mn"],
  "fractional_positions": [[0.0000, 0.0000, 0.0000], [0.5000, 0.5000, 0.5000], [0.5000, 0.0000, 0.0000], [0.0000, 0.5000, 0.0000], [0.0000, 0.0000, 0.5000]]
}